(1)
ZnPd8Pt5: relaxed, PBE.

```
ZnPd8Pt5
1.0
-2.691 -5.909 1.637
-0.272 0.810 -6.642
6.385 0.184 2.009
Zn Pd Pt
1 8 5
Direct
0.250 0.500 0.750 Zn
0.134 0.743 0.041 Pd
0.959 0.093 0.702 Pd
0.786 0.252 0.376 Pd
0.624 0.411 0.876 Pd
0.465 0.589 0.214 Pd
0.609 0.907 0.866 Pd
0.298 0.257 0.391 Pd
0.124 0.748 0.535 Pd
0.004 0.367 0.128 Pt
0.872 0.876 0.239 Pt
0.761 0.633 0.637 Pt
0.500 0.000 0.500 Pt
0.363 0.124 0.996 Pt
```

Calculated values
Symmetry   No. 82
Formation energy from the elements   0.15 eV per atom


(2)
CaAuCl6: relaxed, PBE.

```
CaAuCl6
1.0
6.306 0.234 -0.022
3.343 5.849 -0.217
3.182 1.807 5.859
Ca Au Cl
1 1 6
Direct
0.500 0.500 0.500 Ca
0.000 0.000 0.000 Au
0.069 0.403 0.752 Cl
0.783 0.056 0.767 Cl
0.590 0.219 0.237 Cl
0.217 0.944 0.233 Cl
0.931 0.597 0.248 Cl
0.410 0.781 0.763 Cl
```

Calculated values
Energy above the lowest structure with this stoichiometry   76.3 meV/atom
Symmetry   No. 2


(3)
CaHg2MoOs: relaxed, PBE.

```
CaHg2MoOs
1.0
5.200 0.000 0.000
0.000 4.699 0.000
0.000 0.000 5.200
Mo Ca Os Hg
1 1 1 2
Direct
0.000 0.500 0.000 Mo
0.000 0.000 0.000 Ca
0.500 0.500 0.500 Os
0.000 0.000 0.500 Hg
0.500 0.000 0.000 Hg
```

Calculated values
Symmetry   No. 123
Formation energy from the elements   2.46 eV per atom


(4)
ZrSiRh2: relaxed, PBE.

```
ZrSiRh2
1.0
3.452 0.000 0.000
0.000 3.452 0.000
0.000 0.000 5.428
Rh Si Zr
2 1 1
Direct
0.000 0.000 0.979 Rh
0.500 0.500 0.303 Rh
0.000 0.000 0.442 Si
0.500 0.500 0.775 Zr
```

Calculated values
Symmetry   No. 99


Results for raw total energy: -70.99; -23.24; -12.38; -31.37 (in eV per cell, following the order of the records).
Results for total magnetization: 0.00; 1.03; 2.65; 0.00 (in μB per formula unit, following the order of the records).